VASP calculation (GGA-PBE) on an optimized crystal structure of LiAuI3.

Geometry as POSCAR:
```
LiAuI3
1.0
9.648 0.000 0.000
0.000 6.432 0.000
-3.884 0.000 12.735
Li Au I
4 4 12
direct
0.169 0.082 0.292
0.169 0.418 0.792
0.831 0.582 0.208
0.831 0.918 0.708
0.241 0.644 0.088
0.241 0.856 0.588
0.759 0.144 0.412
0.759 0.356 0.912
0.015 0.673 0.632
0.015 0.827 0.132
0.351 0.108 0.758
0.351 0.392 0.258
0.379 0.675 0.947
0.379 0.825 0.447
0.621 0.175 0.553
0.621 0.325 0.053
0.649 0.608 0.742
0.649 0.892 0.242
0.985 0.173 0.868
0.985 0.327 0.368
```

## Properties
formation energy without anion corrections	-9.5	kcal/mol of atoms
M_tot	0.0	Bohr magnetons per cell
VASP energy	-11.892	eV per formula unit